<A>
## CdTe2As (PBE-GGA)

Data for a geometry-optimized CdTe2As structure.

Cell lengths 3.645, 3.645, 7.600 Å; angles 90.00, 90.00, 90.00 degrees
Fractional positions:
As 0.500 0.500 0.250
Te 0.000 0.000 0.014
Te 0.000 0.000 0.486
Cd 0.500 0.500 0.750

## Properties
Density of states at the Fermi level ... 2.608 states/eV per cell
Total magnetic moment ... 0.00 μB/f.u.

<B>
## CdTe2As (PBE-GGA)

Data for a geometry-optimized CdTe2As structure.

Cell lengths 6.054, 4.253, 4.251 Å; angles 90.01, 90.00, 90.00 degrees
Fractional positions:
As 0.000 0.375 0.375
Te 0.000 0.876 0.875
Te 0.500 0.375 0.375
Cd 0.500 0.874 0.875

## Properties
Density of states at the Fermi level ... 1.992 states/eV per cell
Total magnetic moment ... 0.00 μB/f.u.

Short version: <B>, <A>, most stable first.

<A>
## ReSiGe (PBE-GGA)

Data for a geometry-optimized ReSiGe structure.

Cell lengths 2.576, 4.589, 4.589 Å; angles 120.00, 90.00, 90.00 degrees
Fractional positions:
Re 0.000 0.000 0.000
Ge 0.999 0.333 0.667
Si 0.001 0.667 0.333

## Properties
Density of states at the Fermi level ... 1.017 states/eV per cell
Total magnetic moment ... 0.00 μB/f.u.

<B>
## ReSiGe (PBE-GGA)

Data for a geometry-optimized ReSiGe structure.

Cell lengths 4.597, 2.639, 8.283 Å; angles 99.17, 106.11, 90.00 degrees
Fractional positions:
Si 0.656 0.156 0.313
Si 0.344 0.844 0.687
Ge 0.753 0.500 0.000
Ge 0.247 0.500 0.000
Re 0.189 0.689 0.378
Re 0.811 0.311 0.622

## Properties
Density of states at the Fermi level ... 4.245 states/eV per cell
Total magnetic moment ... 0.00 μB/f.u.

Short version: <A>, <B>, most stable first.

<A>
## Sc3Ag (PBE-GGA)

Data for a geometry-optimized Sc3Ag structure.

Cell lengths 5.778, 5.778, 5.778 Å; angles 137.07, 137.07, 62.33 degrees
Fractional positions:
Ag 0.000 0.000 0.000
Sc 0.250 0.750 0.500
Sc 0.500 0.500 0.000
Sc 0.750 0.250 0.500

## Properties
Density of states at the Fermi level ... 7.072 states/eV per cell
Total magnetic moment ... 0.42 μB/f.u.

<B>
## Sc3Ag (PBE-GGA)

Data for a geometry-optimized Sc3Ag structure.

Cell lengths 5.833, 5.833, 5.833 Å; angles 116.92, 116.92, 116.92 degrees
Fractional positions:
Ag 0.000 0.000 0.000
Sc 0.000 0.500 0.500
Sc 0.500 0.000 0.500
Sc 0.500 0.500 0.000

## Properties
Density of states at the Fermi level ... 7.827 states/eV per cell
Total magnetic moment ... 0.02 μB/f.u.

Short version: <A>, <B>, most stable first.